## KVW3 (PBE)

Data for a geometry-optimized KVW3 structure.

Values from the calculation:
space group	No. 221
energy of formation	1.992	eV/atom

abc: 4.7147 4.7147 4.7147
angles: 90.00 90.00 90.00
With the nearest neighbours (Å) after each atom.
Fractional coordinates of all 5 atoms:
W  0.0000  0.0000  0.5000  2 V 2.36
W  0.0000  0.5000  0.0000  2 V 2.36
W  0.5000  0.0000  0.0000  2 V 2.36
V  0.0000  0.0000  0.0000  6 W 2.36
K  0.5000  0.5000  0.5000  12 W 3.33

---

## YZr2Ru (PBE)

Data for a geometry-optimized YZr2Ru structure.

Values from the calculation:
space group	No. 160
energy of formation	-0.009	eV/atom

abc: 9.6478 9.6478 9.6478
angles: 19.77 19.77 19.77
With the nearest neighbours (Å) after each atom.
Fractional coordinates of all 4 atoms:
Zr  0.2381  0.2381  0.2381  3 Ru 2.69
Zr  0.9951  0.9951  0.9951  9 Zr 3.20-3.31, 3 Y 3.43
Y  0.7620  0.7620  0.7620  3 Ru 2.88
Ru  0.5048  0.5048  0.5048  3 Zr 2.69, 3 Y 2.88

---

## CsSb2I2 (PBE)

Data for a geometry-optimized CsSb2I2 structure.

Values from the calculation:
space group	No. 139
VASP energy	-14.0	eV per cell

abc: 4.4271 4.4271 10.9647
angles: 78.35 78.35 90.00
With the nearest neighbours (Å) after each atom.
Fractional coordinates of all 5 atoms:
I  0.3903  0.3903  0.2194  4 Sb 3.69, 4 Cs 3.89
I  0.6097  0.6097  0.7806  4 Sb 3.69, 4 Cs 3.89
Cs  0.0000  0.0000  0.0000  8 I 3.89
Sb  0.7500  0.2500  0.5000  4 Sb 3.13
Sb  0.2500  0.7500  0.5000  4 Sb 3.13

---

## In2POs (PBE)

Data for a geometry-optimized In2POs structure.

Values from the calculation:
space group	No. 216
energy of formation	0.746	eV/atom

abc: 4.6887 4.6887 4.6887
angles: 60.00 60.00 60.00
With the nearest neighbours (Å) after each atom.
Fractional coordinates of all 4 atoms:
P  0.2500  0.2500  0.2500  4 Os 2.87, 4 In 2.87
Os  0.5000  0.5000  0.5000  4 In 2.87, 4 P 2.87
In  0.0000  0.0000  0.0000  4 P 2.87, 4 In 2.87
In  0.7500  0.7500  0.7500  4 In 2.87, 4 Os 2.87

---

## CaNbSe2 (PBE)

Data for a geometry-optimized CaNbSe2 structure.

Values from the calculation:
space group	No. 123
VASP energy	-22.7	eV per cell

abc: 3.3646 3.3646 7.0032
angles: 90.00 90.00 90.00
With the nearest neighbours (Å) after each atom.
Fractional coordinates of all 4 atoms:
Nb  0.5000  0.5000  0.5000  8 Se 2.84
Se  0.0000  0.0000  0.7209  4 Nb 2.84, 4 Ca 3.08, 1 Se 3.09
Se  0.0000  0.0000  0.2791  4 Nb 2.84, 4 Ca 3.08, 1 Se 3.09
Ca  0.5000  0.5000  0.0000  8 Se 3.08, 4 Ca 3.36

---

## V2NiPd7 (PBE)

Data for a geometry-optimized V2NiPd7 structure.

Values from the calculation:
space group	No. 65
energy of formation	0.217	eV/atom

abc: 2.7189 9.0434 9.0435
angles: 132.58 90.00 90.00
With the nearest neighbours (Å) after each atom.
Fractional coordinates of all 10 atoms:
Pd  0.0000  0.7829  0.2171  2 V 2.50, 6 Pd 2.72-2.79
Pd  0.5000  0.6966  0.8968  1 V 2.35, 2 Ni 2.60
Pd  0.0000  0.2171  0.7829  2 V 2.50, 6 Pd 2.72-2.79
Pd  0.5000  0.5000  0.5000  2 V 2.59, 6 Pd 2.72
Pd  0.5000  0.8968  0.6966  1 V 2.35, 2 Ni 2.60
Pd  0.5000  0.3034  0.1032  1 V 2.35, 2 Ni 2.60
Pd  0.5000  0.1032  0.3034  1 V 2.35, 2 Ni 2.60
V  0.5000  0.6564  0.3436  5 Pd 2.35-2.59
V  0.5000  0.3436  0.6564  5 Pd 2.35-2.59
Ni  0.0000  0.0000  0.0000  8 Pd 2.60, 2 Ni 2.72

---

## TeW2Cl (PBE)

Data for a geometry-optimized TeW2Cl structure.

Values from the calculation:
space group	No. 225
VASP energy	-26.6	eV per cell

abc: 4.5969 4.5969 4.5969
angles: 60.00 60.00 60.00
With the nearest neighbours (Å) after each atom.
Fractional coordinates of all 4 atoms:
Te  0.5000  0.5000  0.5000  8 W 2.82
W  0.2500  0.2500  0.2500  4 Te 2.82, 4 Cl 2.82
W  0.7500  0.7500  0.7500  4 Cl 2.82, 4 Te 2.82
Cl  0.0000  0.0000  0.0000  8 W 2.82

---

## LaY2Ho2Tm (PBE)

Data for a geometry-optimized LaY2Ho2Tm structure.

Values from the calculation:
space group	No. 58
energy of formation	0.268	eV/atom

abc: 3.4126 6.4875 17.9612
angles: 90.00 90.00 90.00
With the nearest neighbours (Å) after each atom.
Fractional coordinates of all 12 atoms:
Ho  0.5000  0.7902  0.6457  1 La 3.22, 4 Y 3.32-3.41, 2 Tm 3.41, 2 Ho 3.41
Ho  0.0000  0.2902  0.8543  1 La 3.22, 4 Y 3.32-3.41, 2 Tm 3.41, 2 Ho 3.41
Ho  0.5000  0.2098  0.3543  1 La 3.22, 4 Y 3.32-3.41, 2 Tm 3.41, 2 Ho 3.41
Ho  0.0000  0.7098  0.1457  1 La 3.22, 4 Y 3.32-3.41, 2 Tm 3.41, 2 Ho 3.41
Y  0.0000  0.7870  0.8101  4 Ho 3.32-3.41, 2 Y 3.41, 1 La 3.68
Y  0.5000  0.7130  0.3101  4 Ho 3.32-3.41, 2 Y 3.41, 1 La 3.68
Y  0.0000  0.2130  0.1899  4 Ho 3.32-3.41, 2 Y 3.41, 1 La 3.68
Y  0.5000  0.2870  0.6899  4 Ho 3.32-3.41, 2 Y 3.41, 1 La 3.68
La  0.5000  0.5000  0.5000  2 Ho 3.22, 2 La 3.41
La  0.0000  0.0000  0.0000  2 Ho 3.22, 2 La 3.41
Tm  0.5000  0.5000  0.0000  4 Ho 3.41, 2 Tm 3.41, 4 La 3.67
Tm  0.0000  0.0000  0.5000  4 Ho 3.41, 2 Tm 3.41, 4 La 3.67

---

## Dy4Cu2Os (PBE)

Data for a geometry-optimized Dy4Cu2Os structure.

Values from the calculation:
space group	No. 166
energy of formation	-0.168	eV/atom

abc: 4.8695 4.8695 8.4005
angles: 73.15 73.15 60.00
With the nearest neighbours (Å) after each atom.
Fractional coordinates of all 7 atoms:
Dy  0.3739  0.3739  0.8783  4 Cu 2.93-2.98, 3 Os 2.97
Dy  0.8778  0.8778  0.3667  1 Os 2.90, 4 Cu 2.96-3.05
Dy  0.1222  0.1222  0.6333  1 Os 2.90, 4 Cu 2.96-3.05
Dy  0.6261  0.6261  0.1217  4 Cu 2.93-2.98, 3 Os 2.97
Os  0.0000  0.0000  0.0000  8 Dy 2.90-2.97
Cu  0.2505  0.2505  0.2484  8 Dy 2.93-3.05
Cu  0.7495  0.7495  0.7516  8 Dy 2.93-3.05

---

## MgCrOs (PBE)

Data for a geometry-optimized MgCrOs structure.

Values from the calculation:
space group	No. 216
energy of formation	0.636	eV/atom

abc: 4.1940 4.1940 4.1940
angles: 60.00 60.00 60.00
With the nearest neighbours (Å) after each atom.
Fractional coordinates of all 3 atoms:
Mg  0.5000  0.5000  0.5000  4 Os 2.57
Os  0.2500  0.2500  0.2500  4 Cr 2.57, 4 Mg 2.57
Cr  0.0000  0.0000  0.0000  4 Os 2.57

---

## LiSmPt (PBE)

Data for a geometry-optimized LiSmPt structure.

Values from the calculation:
space group	No. 189
energy of formation	-0.840	eV/atom

abc: 4.0953 7.2632 7.2632
angles: 120.00 90.00 90.00
With the nearest neighbours (Å) after each atom.
Fractional coordinates of all 9 atoms:
Pt  0.0000  0.6667  0.3333  3 Li 2.85, 6 Sm 3.01
Pt  0.0000  0.3333  0.6667  3 Li 2.85, 6 Sm 3.01
Pt  0.5000  0.0000  0.0000  6 Li 2.66, 3 Sm 2.96
Sm  0.5000  0.5923  0.0000  5 Pt 2.96-3.01, 6 Li 3.29-3.31
Sm  0.5000  0.0000  0.5923  5 Pt 2.96-3.01, 6 Li 3.29-3.31
Sm  0.5000  0.4077  0.4077  5 Pt 2.96-3.01, 6 Li 3.29-3.31
Li  0.0000  0.0000  0.2336  4 Pt 2.66-2.85, 2 Li 2.94
Li  0.0000  0.7664  0.7664  4 Pt 2.66-2.85, 2 Li 2.94
Li  0.0000  0.2336  0.0000  4 Pt 2.66-2.85, 2 Li 2.94

---

## Dy6HC3S2 (PBE)

Data for a geometry-optimized Dy6HC3S2 structure.

Values from the calculation:
space group	No. 12
VASP energy	-79.1	eV per cell

abc: 3.6779 7.5980 8.4335
angles: 105.74 102.59 90.00
With the nearest neighbours (Å) after each atom.
Fractional coordinates of all 12 atoms:
C  0.5000  0.5000  0.0000  6 Dy 2.49-2.53
C  0.8338  0.1665  0.6677  6 Dy 2.47-2.52
C  0.1662  0.8335  0.3323  6 Dy 2.47-2.52
S  0.1627  0.3255  0.3253  6 Dy 2.76-2.82
S  0.8373  0.6745  0.6747  6 Dy 2.76-2.82
Dy  0.6755  0.0609  0.3510  3 C 2.50-2.51, 2 S 2.78, 1 H 2.80
Dy  0.0100  0.7263  0.0201  3 C 2.47-2.49, 1 S 2.76
Dy  0.3402  0.3976  0.6804  3 C 2.52-2.53, 3 S 2.80-2.82
Dy  0.3245  0.9391  0.6490  3 C 2.50-2.51, 2 S 2.78, 1 H 2.80
Dy  0.9900  0.2737  0.9799  3 C 2.47-2.49, 1 S 2.76
Dy  0.6598  0.6024  0.3196  3 C 2.52-2.53, 3 S 2.80-2.82
H  0.5000  0.0000  0.0000  6 Dy 2.80-2.81

---

## MnTl2Br (PBE)

Data for a geometry-optimized MnTl2Br structure.

Values from the calculation:
space group	No. 44
VASP energy	-15.4	eV per cell

abc: 6.4043 6.4043 6.4043
angles: 148.88 126.42 63.27
With the nearest neighbours (Å) after each atom.
Fractional coordinates of all 4 atoms:
Tl  0.7488  0.2488  0.5000  4 Mn 3.36, 6 Tl 3.44-3.69, 4 Br 3.61-3.71
Tl  0.0386  0.0386  0.0000  2 Mn 3.01
Br  0.4469  0.4469  0.0000  2 Mn 2.62
Mn  0.2658  0.7658  0.5000  2 Br 2.62

---

## YBS2Cl (PBE)

Data for a geometry-optimized YBS2Cl structure.

Values from the calculation:
space group	No. 123
VASP energy	-25.8	eV per cell

abc: 4.4306 4.4306 4.2616
angles: 90.00 90.00 90.00
With the nearest neighbours (Å) after each atom.
Fractional coordinates of all 5 atoms:
S  0.5000  0.0000  0.0000  2 B 2.22
S  0.0000  0.5000  0.0000  2 B 2.22
Cl  0.0000  0.0000  0.5000  2 B 2.13
Y  0.5000  0.5000  0.5000  8 S 3.07, 4 Cl 3.13
B  0.0000  0.0000  0.0000  2 Cl 2.13, 4 S 2.22

---

## La2PmP3 (PBE)

Data for a geometry-optimized La2PmP3 structure.

Values from the calculation:
space group	No. 139
energy of formation	-1.563	eV/atom

abc: 4.2321 4.2321 9.4569
angles: 102.93 102.93 89.98
With the nearest neighbours (Å) after each atom.
Fractional coordinates of all 6 atoms:
Pm  0.4342  0.4358  0.8740  6 P 2.95-2.99
P  0.9341  0.9359  0.8740  2 La 2.97, 4 Pm 2.99
P  0.5989  0.6002  0.2032  1 Pm 2.95, 5 La 2.99-3.05
P  0.2697  0.2710  0.5447  1 Pm 2.95, 5 La 2.99-3.05
La  0.7686  0.7700  0.5427  6 P 2.97-3.05
La  0.0999  0.1012  0.2052  6 P 2.97-3.05

---

## Pr5InAu4 (PBE)

Data for a geometry-optimized Pr5InAu4 structure.

Values from the calculation:
space group	No. 123
energy of formation	-0.693	eV/atom

abc: 3.7425 3.7425 19.2100
angles: 90.00 90.00 90.00
With the nearest neighbours (Å) after each atom.
Fractional coordinates of all 10 atoms:
Pr  0.5000  0.5000  0.1102  4 Au 3.23, 4 In 3.39
Pr  0.5000  0.5000  0.3046  8 Au 3.24-3.25
Pr  0.5000  0.5000  0.6954  8 Au 3.24-3.25
Pr  0.5000  0.5000  0.5000  8 Au 3.24
Pr  0.5000  0.5000  0.8898  4 Au 3.23, 4 In 3.39
Au  0.0000  0.0000  0.7930  8 Pr 3.23-3.24
Au  0.0000  0.0000  0.4030  8 Pr 3.24-3.25
Au  0.0000  0.0000  0.2070  8 Pr 3.23-3.24
Au  0.0000  0.0000  0.5970  8 Pr 3.24-3.25
In  0.0000  0.0000  0.0000  8 Pr 3.39, 4 In 3.74

---

## Y2Mg2As (PBE)

Data for a geometry-optimized Y2Mg2As structure.

Values from the calculation:
space group	No. 127
energy of formation	-0.294	eV/atom

abc: 7.5037 7.5037 5.2031
angles: 90.00 90.00 90.00
With the nearest neighbours (Å) after each atom.
Fractional coordinates of all 10 atoms:
Y  0.8350  0.6650  0.0000  2 As 2.80
Y  0.6650  0.1650  0.0000  2 As 2.80
Y  0.3350  0.8350  0.0000  2 As 2.80
Y  0.1650  0.3350  0.0000  2 As 2.80
As  0.5000  0.5000  0.0000  4 Y 2.80
As  0.0000  0.0000  0.0000  4 Y 2.80
Mg  0.1390  0.6390  0.5000  1 Mg 2.95
Mg  0.3610  0.1390  0.5000  1 Mg 2.95
Mg  0.6390  0.8610  0.5000  1 Mg 2.95
Mg  0.8610  0.3610  0.5000  1 Mg 2.95

---

## Pu2Co3NiB12 (PBE)

Data for a geometry-optimized Pu2Co3NiB12 structure.

Values from the calculation:
space group	No. 166
energy of formation	0.026	eV/atom

abc: 8.0273 8.0273 8.0273
angles: 38.60 38.60 38.60
With the nearest neighbours (Å) after each atom.
Fractional coordinates of all 18 atoms:
B  0.0237  0.3472  0.3472  4 B 1.72-1.74
B  0.9763  0.6528  0.6528  4 B 1.72-1.74
B  0.3174  0.9528  0.9528  4 B 1.74-1.93
B  0.3472  0.0237  0.3472  4 B 1.72-1.74
B  0.3472  0.3472  0.0237  4 B 1.72-1.74
B  0.9528  0.9528  0.3174  4 B 1.74-1.93
B  0.9528  0.3174  0.9528  4 B 1.74-1.93
B  0.6528  0.9763  0.6528  4 B 1.72-1.74
B  0.6826  0.0472  0.0472  4 B 1.74-1.93
B  0.0472  0.0472  0.6826  4 B 1.74-1.93
B  0.6528  0.6528  0.9763  4 B 1.72-1.74
B  0.0472  0.6826  0.0472  4 B 1.74-1.93
Pu  0.6414  0.6414  0.6414  6 B 2.57-2.83
Pu  0.3586  0.3586  0.3586  6 B 2.57-2.83
Co  0.0000  0.5000  0.0000  6 B 2.10-2.11
Co  0.5000  0.0000  0.0000  6 B 2.10-2.11
Co  0.0000  0.0000  0.5000  6 B 2.10-2.11
Ni  0.0000  0.0000  0.0000  6 B 2.00

---

## Y3Pt4 (PBE)

Data for a geometry-optimized Y3Pt4 structure.

Values from the calculation:
space group	No. 191
energy of formation	-0.300	eV/atom

abc: 6.3795 6.3795 4.7020
angles: 90.00 90.00 120.00
With the nearest neighbours (Å) after each atom.
Fractional coordinates of all 7 atoms:
Pt  0.6667  0.3333  0.5000  6 Y 2.99
Pt  0.0000  0.0000  0.7476  2 Pt 2.33-2.37
Pt  0.3333  0.6667  0.5000  6 Y 2.99
Pt  0.0000  0.0000  0.2524  2 Pt 2.33-2.37
Y  0.0000  0.5000  0.0000  4 Pt 2.99, 4 Y 3.19
Y  0.5000  0.0000  0.0000  4 Pt 2.99, 4 Y 3.19
Y  0.5000  0.5000  0.0000  4 Pt 2.99, 4 Y 3.19

---

## GaCo3H (PBE)

Data for a geometry-optimized GaCo3H structure.

Values from the calculation:
space group	No. 12
VASP energy	-56.0	eV per cell

abc: 3.5722 6.7954 4.5296
angles: 104.54 113.23 74.74
With the nearest neighbours (Å) after each atom.
Fractional coordinates of all 10 atoms:
Co  0.8928  0.2925  0.0044  3 H 1.81
Co  0.8859  0.8035  0.5012  1 H 1.85
Co  0.3920  0.0427  0.7529  1 H 1.85
Co  0.3850  0.5537  0.2498  3 H 1.81
Co  0.1389  0.9231  0.1271  4 Ga 2.53-2.54, 8 Co 2.56-2.59
Co  0.1389  0.4231  0.6271  2 H 1.64
Ga  0.6492  0.1690  0.3938  1 H 2.19
Ga  0.6285  0.6773  0.8603  1 H 2.19
H  0.9202  0.5302  0.2967  4 Co 1.64-1.81
H  0.3577  0.3159  0.9574  4 Co 1.64-1.81